Below is crystalline Dy2HoIn3CuPt2 at its relaxed geometry, with properties calculated at the PBE level.

The calculation puts the final energy at -90.78 eV/cell.

The structure belongs to space group Amm2 (No. 38); the cell edges are 3.733, 13.393 and 7.738 Å and the angles 90.00°, 90.00° and 90.00°. The inequivalent atoms are Dy at (0.000, 0.206, 0.000), Ho at (0.000, 0.000, 0.383), In at (0.500, 0.000, 0.049), In at (0.500, 0.127, 0.667), Cu at (0.000, 0.000, 0.794) and Pt at (0.500, 0.166, 0.294).

---

Below is crystalline Cs2NiBr6 at its relaxed geometry, with properties calculated at the PBE level.

The calculation puts the final energy at -51.11 eV/cell.

The structure belongs to space group I4/mmm (No. 139); the cell edges are 8.489, 8.489 and 8.611 Å and the angles 90.00°, 90.00° and 90.00°. The inequivalent atoms are Cs at (0.000, 0.500, 0.250), Ni at (0.000, 0.000, 0.000), Br at (0.000, 0.000, 0.353) and Br at (0.196, 0.196, 0.000).

---

Below is crystalline SrCdAgAs2 at its relaxed geometry, with properties calculated at the PBE level.

The calculation puts the final energy at -67.60 eV/cell.

The structure belongs to space group Cmc2_1 (No. 36); the cell edges are 4.399, 17.964 and 6.242 Å and the angles 90.00°, 90.00° and 90.00°. The inequivalent atoms are Sr at (0.000, 0.185, 0.000), Cd at (0.000, 0.389, 0.942), Ag at (0.000, 0.024, 0.693), As at (0.000, 0.191, 0.501) and As at (0.000, 0.459, 0.476).

---

Below is crystalline LuFeHgSb at its relaxed geometry, with properties calculated at the PBE level.

The excess energy over the best structure of this formula in the dataset comes out at 0 meV per atom.

The structure belongs to space group F-43m (No. 216); the cell edges are 6.955, 6.955 and 6.955 Å and the angles 90.00°, 90.00° and 90.00°. The inequivalent atoms are Lu at (0.000, 0.000, 0.000), Fe at (0.000, 0.000, 0.500), Hg at (0.250, 0.250, 0.750) and Sb at (0.250, 0.250, 0.250).

---

Below is crystalline InCuPbS3 at its relaxed geometry, with properties calculated at the PBE level.

The excess energy over the best structure of this formula in the dataset comes out at 109 meV per atom.

The structure belongs to space group Cmcm (No. 63); the cell edges are 3.712, 12.409 and 11.321 Å and the angles 90.00°, 90.00° and 90.00°. The inequivalent atoms are In at (0.000, 0.240, 0.250), Cu at (0.000, 0.471, 0.750), Pb at (0.000, 0.000, 0.000), S at (0.000, 0.095, 0.750) and S at (0.000, 0.343, 0.597).

---

Below is crystalline LaGeOs at its relaxed geometry, with properties calculated at the PBE level.

The calculation puts the final energy at -83.08 eV/cell.

The structure belongs to space group F-43m (No. 216); the cell edges are 6.538, 6.538 and 6.538 Å and the angles 90.00°, 90.00° and 90.00°. The inequivalent atoms are La at (0.000, 0.000, 0.000), Ge at (0.000, 0.000, 0.500) and Os at (0.250, 0.250, 0.750).

---

Below is crystalline Tm2GaSi3Pt2 at its relaxed geometry, with properties calculated at the PBE level.

The calculation puts the final energy at -92.56 eV/cell.

The structure belongs to space group Cm (No. 8); the cell edges are 19.966, 3.881 and 4.184 Å and the angles 90.00°, 102.00° and 90.00°. The inequivalent atoms are Tm at (0.000, 0.000, 0.000), Tm at (0.247, 0.500, 0.750), Ga at (0.442, 0.000, 0.443), Si at (0.065, 0.500, 0.565), Si at (0.189, 0.000, 0.193), Si at (0.307, 0.000, 0.310), Pt at (0.120, 0.500, 0.120) and Pt at (0.372, 0.000, 0.874).

---

Below is crystalline Hf2In2O5 at its relaxed geometry, with properties calculated at the PBE level.

The calculation puts the final energy at -70.96 eV/cell.

The structure belongs to space group P4/mmm (No. 123); the cell edges are 4.015, 4.015 and 8.880 Å and the angles 90.00°, 90.00° and 90.00°. The inequivalent atoms are Hf at (0.000, 0.000, 0.226), In at (0.500, 0.500, 0.000), In at (0.500, 0.500, 0.500), O at (0.000, 0.000, 0.000) and O at (0.000, 0.500, 0.272).